The following is a DFT calculation (PBE) of YAlGa2Rh4 after structural relaxation.

The structure belongs to space group R-3m (No. 166, hexagonal axes); the cell edges are 4.3861, 4.3861 and 22.1881 Å and the angles 90.00°, 90.00° and 120.00°. The distinct sites, in fractional coordinates, are Y at (0.0000, 0.0000, 0.0000), Al at (0.0000, 0.0000, 0.5000), Ga at (0.0000, 0.0000, 0.2475), Rh at (0.0000, 0.0000, 0.1303) and Rh at (0.0000, 0.0000, 0.3878).

For the calculated volume, the calculation gives 369.7 Å³/cell. As for the energy of formation from the pure elements: -842 meV per atom. The calculation puts the uncorrected energy at -6.5499 eV/atom.